Computed, not measured: a relaxed Co2OsW crystal at the PBE level of DFT.

Output
As for the energy above the most stable polymorph in this dataset: 0.98 eV per formula unit. As for the magnetic moment: 3.1 μB per cell. The value obtained for the energy of formation from the pure elements is 0.246 eV/atom.

```
Co2OsW
1.0
-5.822 -5.606 3.149
-4.191 -7.355 1.894
-3.619 -6.538 4.404
W Co Os
1 2 1
Direct
0.748 0.748 0.748
0.254 0.254 0.254
0.995 0.995 0.995
0.503 0.503 0.503
```